# 1
A geometry-optimized LaPrTmPb structure. Source: Alexandria, functional PBE-GGA.

Summary:
Calculated total energy = -18.6 eV/cell
Energy relative to the elements = -0.168 eV/atom

Cell lengths 5.6478, 5.6478, 5.6478 Å; angles 60.00, 60.00, 60.00 degrees
Element x y z (fractional)
Pb  0.2500  0.2500  0.2500
Pr  0.5000  0.5000  0.5000
Tm  0.7500  0.7500  0.7500
La  0.0000  0.0000  0.0000

# 2
A geometry-optimized LaPrZnPb structure. Source: Alexandria, functional PBE-GGA.

Summary:
Calculated total energy = -16.4 eV/cell
Energy relative to the elements = -0.426 eV/atom

Cell lengths 5.4868, 5.4868, 5.4868 Å; angles 60.00, 60.00, 60.00 degrees
Element x y z (fractional)
Pb  0.5000  0.5000  0.5000
Pr  0.7500  0.7500  0.7500
Zn  0.0000  0.0000  0.0000
La  0.2500  0.2500  0.2500

# 3
A geometry-optimized La4PtPb structure. Source: Alexandria, functional PBE-GGA.

Summary:
Calculated total energy = -66.0 eV/cell
E above lowest polymorph = 33 meV/atom
Energy relative to the elements = -0.593 eV/atom

Cell lengths 6.3742, 8.7156, 8.5422 Å; angles 113.40, 102.62, 107.64 degrees
Element x y z (fractional)
La  0.0464  0.1988  0.8472
La  0.7685  0.6976  0.6231
La  0.3009  0.6484  0.8472
La  0.3546  0.9255  0.6231
La  0.6454  0.0745  0.3769
La  0.6991  0.3516  0.1528
La  0.2315  0.3024  0.3769
La  0.9536  0.8012  0.1528
Pt  0.2523  0.0023  0.0046
Pt  0.7477  0.9977  0.9954
Pb  0.3668  0.6168  0.2337
Pb  0.6332  0.3832  0.7663

# 4
A geometry-optimized La5PtPb2 structure. Source: Alexandria, functional PBE-GGA.

Summary:
Calculated total energy = -87.5 eV/cell
Energy relative to the elements = -0.708 eV/atom

Cell lengths 4.8344, 8.3864, 13.0459 Å; angles 90.00, 90.00, 90.00 degrees
Element x y z (fractional)
La  0.0000  0.0000  0.5000
La  0.0000  0.5000  0.0000
La  0.0000  0.8550  0.2083
La  0.0000  0.1450  0.7917
La  0.0000  0.6450  0.7083
La  0.0000  0.3550  0.2917
La  0.5000  0.6828  0.4364
La  0.5000  0.3172  0.5636
La  0.5000  0.8172  0.9364
La  0.5000  0.1828  0.0636
Pt  0.0000  0.5000  0.5000
Pt  0.0000  0.0000  0.0000
Pb  0.5000  0.5750  0.1707
Pb  0.5000  0.4250  0.8293
Pb  0.5000  0.9250  0.6707
Pb  0.5000  0.0750  0.3293